No. 1
The following is a PBE-GGA calculation of crystalline CdGa2Co at its relaxed geometry, from OQMD via LeMat-Bulk.

Cell lengths 4.481, 4.481, 4.481 Å; angles 60.00, 60.00, 60.00 degrees
Fractional positions:
Ga1 0.000 0.000 0.000
Ga2 0.750 0.750 0.750
Co1 0.250 0.250 0.250
Cd1 0.500 0.500 0.500

No. 2
The following is a PBE-GGA calculation of crystalline K2Nb2Pt3 at its relaxed geometry, from OQMD via LeMat-Bulk.

Cell lengths 10.825, 10.825, 10.825 Å; angles 23.97, 23.97, 23.97 degrees
Fractional positions:
Nb1 0.577 0.577 0.577
Nb2 0.980 0.980 0.980
Pt1 0.655 0.655 0.655
Pt2 0.352 0.352 0.352
Pt3 0.897 0.897 0.897
K1 0.164 0.164 0.164
K2 0.751 0.751 0.751

These records have calculated volume values of 63.6, 183.9 Å³/f.u., in the order they appear.
These records have final energy values of -3.2268, -5.8775 eV/atom, in the order they appear.